Entry from OQMD via LeMat-Bulk: a relaxed structure of TbFe (GGA-PBE).

Results
The calculated volume is 21.05 A^3/atom. The energy of formation from the pure elements is 501 meV per atom.

abc: 3.4769 3.4769 4.0216
angles: 90.00 90.00 120.00
Space group P-6m2 (No. 187)
Unique sites:
Tb  0.0000  0.0000  0.0000
Fe  0.3333  0.6667  0.5000



Entry from OQMD via LeMat-Bulk: a relaxed structure of SmCo2P2 (GGA-PBE).

Results
The calculated volume is 14.29 A^3/atom. For the total energy, the calculation gives -6.949 eV/atom.

abc: 3.867 3.867 9.556
angles: 90.00 90.00 90.00
Space group I4/mmm (No. 139)
Unique sites:
Sm  0.000  0.000  0.000
Co  0.000  0.500  0.250
P  0.000  0.000  0.370



Entry from OQMD via LeMat-Bulk: a relaxed structure of PrTlCdSe3 (GGA-PBE).

Results
The calculation puts the offset from the most stable computed form at 0.053 eV per atom. The calculated volume is 29.90 A^3/atom.

abc: 18.092 4.344 9.469
angles: 90.00 105.34 90.00
Space group C2/m (No. 12)
Unique sites:
Pr  0.175  0.000  0.103
Tl  0.135  0.000  0.571
Cd  0.007  0.500  0.214
Se  0.000  0.000  0.000
Se  0.000  0.500  0.500
Se  0.159  0.500  0.875
Se  0.164  0.500  0.307



Entry from OQMD via LeMat-Bulk: a relaxed structure of LuCdCuPd (GGA-PBE).

Results
The calculation puts the offset from the most stable computed form at 0.156 eV per atom. The calculated volume is 18.37 A^3/atom. The energy of formation from the pure elements is -328 meV per atom.

abc: 6.648 6.648 6.648
angles: 90.00 90.00 90.00
Space group F-43m (No. 216)
Unique sites:
Lu  0.000  0.000  0.000
Cd  0.250  0.250  0.250
Cu  0.000  0.000  0.500
Pd  0.250  0.250  0.750



Entry from OQMD via LeMat-Bulk: a relaxed structure of Tb2ErCd3Ag3 (GGA-PBE).

Results
The calculated volume is 23.16 A^3/atom. The energy of formation from the pure elements is -336 meV per atom.

abc: 3.912 13.573 7.854
angles: 90.00 90.00 90.00
Space group Amm2 (No. 38)
Unique sites:
Tb  0.000  0.202  0.000
Er  0.000  0.000  0.608
Cd  0.500  0.000  0.939
Cd  0.500  0.131  0.334
Ag  0.000  0.000  0.203
Ag  0.500  0.165  0.702



Entry from OQMD via LeMat-Bulk: a relaxed structure of CdAgH2Cl2O2 (GGA-PBE).

Results
The calculated volume is 14.92 A^3/atom. For the total energy, the calculation gives -3.766 eV/atom.

abc: 3.6982 3.6982 10.0767
angles: 90.00 90.00 120.00
Space group P3m1 (No. 156)
Unique sites:
Cd  0.0000  0.0000  0.0000
Ag  0.6667  0.3333  0.4989
H  0.3333  0.6667  0.1778
H  0.3333  0.6667  0.6784
Cl  0.0000  0.0000  0.3389
Cl  0.6667  0.3333  0.8323
O  0.3333  0.6667  0.0805
O  0.3333  0.6667  0.5805



Entry from OQMD via LeMat-Bulk: a relaxed structure of KAu2Cl (GGA-PBE).

Results
The calculated volume is 35.53 A^3/atom. For the total energy, the calculation gives -2.446 eV/atom.

abc: 5.4410 5.4410 16.6309
angles: 90.00 90.00 120.00
Space group R-3m (No. 166, hexagonal axes)
Unique sites:
K  0.0000  0.0000  0.0000
Au  0.0000  0.0000  0.3495
Cl  0.0000  0.0000  0.5000



Entry from OQMD via LeMat-Bulk: a relaxed structure of PrZnAs (GGA-PBE).

Results
The calculated volume is 28.28 A^3/atom. For the total energy, the calculation gives -4.007 eV/atom.

abc: 6.975 6.975 6.975
angles: 90.00 90.00 90.00
Space group F-43m (No. 216)
Unique sites:
Pr  0.000  0.000  0.000
Zn  0.250  0.250  0.250
As  0.250  0.250  0.750



Entry from OQMD via LeMat-Bulk: a relaxed structure of NaDyZnTe3 (GGA-PBE).

Results
The calculation puts the offset from the most stable computed form at 0.011 eV per atom. The calculated volume is 31.82 A^3/atom.

abc: 15.018 4.316 11.782
angles: 90.00 90.00 90.00
Space group Pnma (No. 62)
Unique sites:
Na  0.230  0.250  0.065
Dy  0.015  0.250  0.343
Zn  0.012  0.750  0.095
Te  0.099  0.750  0.888
Te  0.112  0.250  0.570
Te  0.141  0.750  0.247



Entry from OQMD via LeMat-Bulk: a relaxed structure of SrUNb (GGA-PBE).

Results
The calculation puts the offset from the most stable computed form at 0.000 eV per atom. The calculated volume is 29.37 A^3/atom.

abc: 7.063 7.063 7.063
angles: 90.00 90.00 90.00
Space group F-43m (No. 216)
Unique sites:
Sr  0.000  0.000  0.000
U  0.000  0.000  0.500
Nb  0.250  0.250  0.250



Entry from OQMD via LeMat-Bulk: a relaxed structure of ZnOsO3 (GGA-PBE).

Results
The calculated volume is 10.48 A^3/atom. For the total energy, the calculation gives -6.432 eV/atom.

abc: 5.3194 5.3194 12.8287
angles: 90.00 90.00 120.00
Space group R-3c (No. 167, hexagonal axes)
Unique sites:
Zn  0.0000  0.0000  0.2500
Os  0.0000  0.0000  0.0000
O  0.0000  0.3647  0.2500



Entry from OQMD via LeMat-Bulk: a relaxed structure of GdDyNi2P4 (GGA-PBE).

Results
The calculated volume is 16.56 A^3/atom. For the total energy, the calculation gives -6.237 eV/atom.

abc: 3.735 3.735 9.496
angles: 90.00 90.00 90.00
Space group P4mm (No. 99)
Unique sites:
Gd  0.000  0.000  0.000
Dy  0.500  0.500  0.535
Ni  0.000  0.500  0.269
P  0.000  0.000  0.405
P  0.000  0.500  0.766
P  0.500  0.500  0.134



Entry from OQMD via LeMat-Bulk: a relaxed structure of Sm2Gd2O5 (GGA-PBE).

Results
The calculation puts the offset from the most stable computed form at 0.051 eV per atom. The calculated volume is 16.90 A^3/atom.

abc: 3.904 3.904 9.979
angles: 90.00 90.00 90.00
Space group P4/mmm (No. 123)
Unique sites:
Sm  0.000  0.000  0.242
Gd  0.500  0.500  0.000
Gd  0.500  0.500  0.500
O  0.000  0.000  0.500
O  0.000  0.500  0.139



Entry from OQMD via LeMat-Bulk: a relaxed structure of Zr4Sc2Cd3C3 (GGA-PBE).

Results
The calculated volume is 18.48 A^3/atom. For the total energy, the calculation gives -6.933 eV/atom.

abc: 9.974 5.771 15.771
angles: 90.00 102.28 90.00
Space group C2/c (No. 15)
Unique sites:
Zr  0.111  0.088  0.081
Zr  0.225  0.081  0.419
Sc  0.054  0.419  0.918
Cd  0.000  0.081  0.750
Cd  0.168  0.414  0.251
C  0.085  0.244  0.500
C  0.250  0.250  0.000



Entry from OQMD via LeMat-Bulk: a relaxed structure of Nd2PICl (GGA-PBE).

Results
The calculated volume is 31.67 A^3/atom. For the total energy, the calculation gives -5.405 eV/atom.

abc: 4.1720 4.1720 10.5048
angles: 90.00 90.00 120.00
Space group P3m1 (No. 156)
Unique sites:
Nd  0.0000  0.0000  0.0000
Nd  0.3333  0.6667  0.6966
P  0.6667  0.3333  0.8478
I  0.3333  0.6667  0.2038
Cl  0.0000  0.0000  0.5392



Entry from OQMD via LeMat-Bulk: a relaxed structure of DyPaOs (GGA-PBE).

Results
The calculation puts the offset from the most stable computed form at 0.000 eV per atom. The calculated volume is 25.58 A^3/atom. The energy of formation from the pure elements is -27 meV per atom.

abc: 6.746 6.746 6.746
angles: 90.00 90.00 90.00
Space group F-43m (No. 216)
Unique sites:
Dy  0.000  0.000  0.000
Pa  0.000  0.000  0.500
Os  0.250  0.250  0.250



Entry from OQMD via LeMat-Bulk: a relaxed structure of Y2AgAu (GGA-PBE).

Results
The calculated volume is 21.59 A^3/atom. The energy of formation from the pure elements is -330 meV per atom.

abc: 7.017 7.017 7.017
angles: 90.00 90.00 90.00
Space group F-43m (No. 216)
Unique sites:
Y  0.000  0.000  0.000
Y  0.250  0.250  0.250
Ag  0.250  0.250  0.750
Au  0.000  0.000  0.500



Entry from OQMD via LeMat-Bulk: a relaxed structure of HfZr2Ni4P4 (GGA-PBE).

Results
The calculation puts the offset from the most stable computed form at 0.096 eV per atom. The calculated volume is 15.03 A^3/atom.

abc: 5.502 5.502 10.920
angles: 90.00 90.00 90.00
Space group I-42m (No. 121)
Unique sites:
Hf  0.000  0.000  0.000
Zr  0.000  0.500  0.250
Ni  0.167  0.167  0.417
P  0.000  0.000  0.248
P  0.000  0.500  0.000



Entry from OQMD via LeMat-Bulk: a relaxed structure of Re3IrN (GGA-PBE).

Results
The calculated volume is 13.16 A^3/atom. For the total energy, the calculation gives -10.681 eV/atom.

abc: 4.038 4.038 4.038
angles: 90.00 90.00 90.00
Space group Pm-3m (No. 221)
Unique sites:
Re  0.000  0.000  0.500
Ir  0.500  0.500  0.500
N  0.000  0.000  0.000



Entry from OQMD via LeMat-Bulk: a relaxed structure of SrNdCd2Au4 (GGA-PBE).

Results
The calculated volume is 23.24 A^3/atom. For the total energy, the calculation gives -3.248 eV/atom.

abc: 5.097 5.097 7.158
angles: 90.00 90.00 90.00
Space group P4/mmm (No. 123)
Unique sites:
Sr  0.000  0.000  0.000
Nd  0.500  0.500  0.500
Cd  0.000  0.000  0.500
Cd  0.500  0.500  0.000
Au  0.000  0.500  0.260